Compound: TcPb2W
Source: Alexandria via LeMat-Bulk
Functional: GGA-PBEsol
Structure: optimized geometry

a b c (Å): 3.084 3.084 9.059
angles (deg): 90.00 90.00 115.83
Sites, in units of the cell vectors:
Pb: 0.000 0.000 0.742
Pb: 0.000 0.000 0.258
W: 0.500 0.500 0.000
Tc: 0.500 0.500 0.500

Output
crystal system = orthorhombic
ΔE to the lowest computed polymorph = 756 meV per atom
DOS at the Fermi energy = 1.0723 states/eV/atom
density = 14.91 Mg/m³
formation energy = 1.0966 eV per atom
space-group type = Cmmm (65)
magnetization = 0.001 μB per atom

=====

Compound: TcPb2W
Source: Alexandria via LeMat-Bulk
Functional: GGA-PBEsol
Structure: optimized geometry

a b c (Å): 3.153 3.153 8.530
angles (deg): 90.00 90.00 90.00
Sites, in units of the cell vectors:
W: 0.500 0.500 0.699
Tc: 0.000 0.000 0.546
Pb: 0.000 0.000 0.950
Pb: 0.500 0.500 0.305

Output
crystal system = tetragonal
ΔE to the lowest computed polymorph = 0 meV per atom
DOS at the Fermi energy = 0.7022 states/eV/atom
density = 13.63 Mg/m³
formation energy = 0.3410 eV per atom
space-group type = P4mm (99)
magnetization = 0.000 μB per atom

=====

Compound: TcPb2W
Source: Alexandria via LeMat-Bulk
Functional: GGA-PBEsol
Structure: optimized geometry

a b c (Å): 3.129 4.504 5.523
angles (deg): 90.00 94.23 90.00
Sites, in units of the cell vectors:
Pb: 0.262 0.000 0.246
Pb: 0.738 0.000 0.754
W: 0.000 0.500 0.500
Tc: 0.500 0.500 0.000

Output
crystal system = monoclinic
ΔE to the lowest computed polymorph = 766 meV per atom
DOS at the Fermi energy = 1.1689 states/eV/atom
density = 14.89 Mg/m³
formation energy = 1.1074 eV per atom
space-group type = P2/m (10)
magnetization = 0.001 μB per atom

=====

Compound: Y2TcPb
Source: Alexandria via LeMat-Bulk
Functional: GGA-PBEsol
Structure: optimized geometry

a b c (Å): 4.950 4.950 4.950
angles (deg): 60.00 60.00 60.00
Sites, in units of the cell vectors:
Y: 0.000 0.000 0.000
Y: 0.750 0.750 0.750
Pb: 0.500 0.500 0.500
Tc: 0.250 0.250 0.250

Output
crystal system = cubic
DOS at the Fermi energy = 1.4308 states/eV/atom
density = 9.35 Mg/m³
formation energy = 0.0397 eV per atom
space-group type = F-43m (216)
magnetization = 0.001 μB per atom

=====

Compound: Zn2TcPb
Source: Alexandria via LeMat-Bulk
Functional: GGA-PBEsol
Structure: optimized geometry

a b c (Å): 3.022 3.022 9.274
angles (deg): 80.62 80.62 60.00
Site moments in Bohr magnetons follow the coordinates.
Sites, in units of the cell vectors:
Zn: 0.738 0.738 0.786  0.01
Zn: 0.262 0.262 0.214  0.01
Pb: 0.500 0.500 0.500  0.00
Tc: 0.000 0.000 0.000  0.49

Output
crystal system = trigonal
DOS at the Fermi energy = 0.7585 states/eV/atom
density = 10.05 Mg/m³
formation energy = 0.4460 eV per atom
space-group type = R-3m (166)
magnetization = 0.137 μB per atom

=====

Compound: ZnTc2Pb
Source: Alexandria via LeMat-Bulk
Functional: GGA-PBEsol
Structure: optimized geometry

a b c (Å): 2.878 2.878 8.615
angles (deg): 90.00 90.00 112.53
Sites, in units of the cell vectors:
Zn: 0.500 0.500 0.500
Pb: 0.500 0.500 0.000
Tc: 0.000 0.000 0.735
Tc: 0.000 0.000 0.265

Output
crystal system = orthorhombic
ΔE to the lowest computed polymorph = 280 meV per atom
DOS at the Fermi energy = 1.2290 states/eV/atom
density = 11.81 Mg/m³
formation energy = 0.7784 eV per atom
space-group type = Cmmm (65)
magnetization = 0.002 μB per atom

=====

Compound: Zn2TcPb
Source: Alexandria via LeMat-Bulk
Functional: GGA-PBEsol
Structure: optimized geometry

a b c (Å): 3.401 4.253 5.304
angles (deg): 113.44 108.70 90.00
Sites, in units of the cell vectors:
Tc: 0.500 0.000 0.000
Zn: 0.235 0.234 0.471
Zn: 0.765 0.766 0.529
Pb: 0.000 0.500 0.000

Output
crystal system = monoclinic
DOS at the Fermi energy = 0.3176 states/eV/atom
density = 10.98 Mg/m³
formation energy = 0.3334 eV per atom
space-group type = C2/m (12)
magnetization = 0.000 μB per atom

=====

Compound: ZnTc2Pb
Source: Alexandria via LeMat-Bulk
Functional: GGA-PBEsol
Structure: optimized geometry

a b c (Å): 2.985 4.648 4.919
angles (deg): 109.09 90.00 90.00
Sites, in units of the cell vectors:
Tc: 0.000 0.000 0.000
Tc: 0.500 0.000 0.500
Zn: 0.500 0.500 0.000
Pb: 0.000 0.500 0.500

Output
crystal system = monoclinic
ΔE to the lowest computed polymorph = 94 meV per atom
DOS at the Fermi energy = 0.9484 states/eV/atom
density = 12.06 Mg/m³
formation energy = 0.5921 eV per atom
space-group type = P2/m (10)
magnetization = 0.000 μB per atom

=====

Compound: Zn2TcPb
Source: Alexandria via LeMat-Bulk
Functional: GGA-PBEsol
Structure: optimized geometry

a b c (Å): 2.998 2.998 7.908
angles (deg): 90.00 90.00 90.00
Site moments in Bohr magnetons follow the coordinates.
Sites, in units of the cell vectors:
Zn: 0.500 0.500 0.185  0.00
Zn: 0.000 0.000 0.990  0.00
Pb: 0.000 0.000 0.531  0.00
Tc: 0.500 0.500 0.794  0.15

Output
crystal system = tetragonal
DOS at the Fermi energy = 1.0279 states/eV/atom
density = 10.19 Mg/m³
formation energy = 0.4694 eV per atom
space-group type = P4mm (99)
magnetization = 0.041 μB per atom

=====

Compound: Zn2TcPb
Source: Alexandria via LeMat-Bulk
Functional: GGA-PBEsol
Structure: optimized geometry

a b c (Å): 4.073 4.075 3.901
angles (deg): 90.00 90.00 90.00
Sites, in units of the cell vectors:
Zn: 0.500 0.500 0.000
Zn: 0.000 0.000 0.000
Tc: 0.000 0.500 0.500
Pb: 0.500 0.000 0.500

Output
crystal system = tetragonal
DOS at the Fermi energy = 0.8447 states/eV/atom
density = 11.18 Mg/m³
formation energy = 0.4509 eV per atom
space-group type = P4/mmm (123)
magnetization = 0.008 μB per atom

=====

Compound: ZnTc2Pb
Source: Alexandria via LeMat-Bulk
Functional: GGA-PBEsol
Structure: optimized geometry

a b c (Å): 4.000 4.000 4.919
angles (deg): 113.99 113.99 90.00
Site moments in Bohr magnetons follow the coordinates.
Sites, in units of the cell vectors:
Tc: 0.750 0.250 0.500  0.91
Tc: 0.250 0.750 0.500  0.91
Zn: 0.500 0.500 0.000  0.01
Pb: 0.000 0.000 0.000  -0.01

Output
crystal system = tetragonal
ΔE to the lowest computed polymorph = 189 meV per atom
DOS at the Fermi energy = 1.3491 states/eV/atom
density = 12.09 Mg/m³
formation energy = 0.6876 eV per atom
space-group type = I4/mmm (139)
magnetization = 0.486 μB per atom

=====

Compound: ZnTc2Pb
Source: Alexandria via LeMat-Bulk
Functional: GGA-PBEsol
Structure: optimized geometry

a b c (Å): 2.986 4.653 5.082
angles (deg): 100.72 90.00 108.72
Sites, in units of the cell vectors:
Pb: 0.000 0.000 0.500
Zn: 0.500 0.000 0.000
Tc: 0.755 0.511 0.793
Tc: 0.245 0.489 0.207

Output
crystal system = monoclinic
ΔE to the lowest computed polymorph = 0 meV per atom
DOS at the Fermi energy = 0.8655 states/eV/atom
density = 11.87 Mg/m³
formation energy = 0.4984 eV per atom
space-group type = C2/m (12)
magnetization = 0.000 μB per atom

=====

Compound: Zn2TcPb
Source: Alexandria via LeMat-Bulk
Functional: GGA-PBEsol
Structure: optimized geometry

a b c (Å): 3.894 3.898 5.082
angles (deg): 112.55 112.52 90.00
Site moments in Bohr magnetons follow the coordinates.
Sites, in units of the cell vectors:
Zn: 0.000 0.000 0.000  -0.01
Zn: 0.750 0.250 0.500  -0.01
Tc: 0.250 0.750 0.500  0.71
Pb: 0.500 0.500 0.000  -0.01

Output
crystal system = tetragonal
DOS at the Fermi energy = 0.3589 states/eV/atom
density = 11.17 Mg/m³
formation energy = 0.3054 eV per atom
space-group type = I-4m2 (119)
magnetization = 0.176 μB per atom

=====

Compound: ZrTc2Pb
Source: Alexandria via LeMat-Bulk
Functional: GGA-PBEsol
Structure: optimized geometry

a b c (Å): 3.069 4.047 5.734
angles (deg): 90.00 90.00 90.00
Sites, in units of the cell vectors:
Pb: 0.500 0.500 0.762
Tc: 0.500 0.500 0.236
Tc: 0.000 0.000 0.034
Zr: 0.000 0.000 0.468

Output
crystal system = orthorhombic
DOS at the Fermi energy = 0.6339 states/eV/atom
density = 11.53 Mg/m³
formation energy = 0.1773 eV per atom
space-group type = Pmm2 (25)
magnetization = 0.000 μB per atom

=====

Compound: Zr2TcPb
Source: Alexandria via LeMat-Bulk
Functional: GGA-PBEsol
Structure: optimized geometry

a b c (Å): 3.245 3.244 7.789
angles (deg): 90.00 90.00 90.03
Sites, in units of the cell vectors:
Tc: 0.500 0.500 0.000
Pb: 0.500 0.500 0.500
Zr: 0.000 0.000 0.201
Zr: 0.000 0.000 0.799

Output
crystal system = tetragonal
ΔE to the lowest computed polymorph = 0 meV per atom
DOS at the Fermi energy = 0.6569 states/eV/atom
density = 9.88 Mg/m³
formation energy = -0.2724 eV per atom
space-group type = P4/mmm (123)
magnetization = 0.000 μB per atom